Pu2FeGeC (PBE-GGA, optimized geometry); DFT formation energy = -0.19 eV per atom; Fermi-level density of states = 14.49 states/eV/f.u.; raw total energy = -10.38 eV/atom; symmetry = No. 11
1.0
6.491 0.000 0.000
0.000 3.872 0.000
-1.473 0.000 6.810
Pu Fe Ge C
4 2 2 2
Direct
0.126 0.250 0.400 Pu
0.229 0.250 0.980 Pu
0.771 0.750 0.020 Pu
0.874 0.750 0.600 Pu
0.411 0.750 0.350 Fe
0.589 0.250 0.650 Fe
0.380 0.750 0.696 Ge
0.620 0.250 0.304 Ge
0.133 0.750 0.174 C
0.867 0.250 0.826 C

---

Tm2I3N (PBE-GGA, optimized geometry); raw total energy = -5.10 eV/atom; symmetry = No. 12
1.0
10.280 -1.969 0.000
10.280 1.969 0.000
-7.696 0.000 9.976
Tm I N
4 6 2
Direct
0.064 0.064 0.464 Tm
0.371 0.371 0.230 Tm
0.629 0.629 0.770 Tm
0.936 0.936 0.536 Tm
0.172 0.172 0.007 I
0.291 0.291 0.379 I
0.469 0.469 0.752 I
0.531 0.531 0.248 I
0.709 0.709 0.621 I
0.828 0.828 0.993 I
0.072 0.072 0.648 N
0.928 0.928 0.352 N

---

Sm5Ni2Ru (PBE-GGA, optimized geometry); DFT formation energy = -0.25 eV per atom; Fermi-level density of states = 8.56 states/eV/f.u.; raw total energy = -5.81 eV/atom; symmetry = No. 140
1.0
-3.599 3.599 7.432
3.599 -3.599 7.432
3.599 3.599 -7.432
Sm Ni Ru
10 4 2
Direct
0.000 0.000 0.000 Sm
0.029 0.529 0.851 Sm
0.178 0.029 0.500 Sm
0.322 0.822 0.851 Sm
0.471 0.322 0.500 Sm
0.500 0.500 0.000 Sm
0.529 0.678 0.500 Sm
0.678 0.178 0.149 Sm
0.822 0.971 0.500 Sm
0.971 0.471 0.149 Sm
0.118 0.382 0.500 Ni
0.382 0.882 0.264 Ni
0.618 0.118 0.736 Ni
0.882 0.618 0.500 Ni
0.250 0.250 0.000 Ru
0.750 0.750 0.000 Ru

---

Nd6Ir2SCl3 (PBE-GGA, optimized geometry); Fermi-level density of states = 6.58 states/eV/f.u.; raw total energy = -6.03 eV/atom; symmetry = No. 12
1.0
3.624 -6.277 0.000
3.624 6.277 0.000
-2.396 0.000 7.294
Nd Ir S Cl
6 2 1 3
Direct
0.081 0.430 0.791 Nd
0.220 0.220 0.207 Nd
0.430 0.081 0.791 Nd
0.570 0.919 0.209 Nd
0.780 0.780 0.793 Nd
0.919 0.570 0.209 Nd
0.168 0.832 0.000 Ir
0.832 0.168 0.000 Ir
0.500 0.500 0.000 S
0.000 0.000 0.500 Cl
0.341 0.659 0.500 Cl
0.659 0.341 0.500 Cl

---

BaPdSe2N (PBE-GGA, optimized geometry); Fermi-level density of states = 12.72 states/eV/f.u.; offset from the most stable computed form = 37.284 kcal/mol of atoms; raw total energy = -3.09 eV/atom; symmetry = No. 123
1.0
6.014 0.000 0.000
0.000 6.014 0.000
0.000 0.000 4.531
Ba Pd Se N
1 1 2 1
Direct
0.000 0.000 0.000 Ba
0.500 0.500 0.500 Pd
0.000 0.500 0.000 Se
0.500 0.000 0.000 Se
0.000 0.000 0.500 N

---

LiTe2SeI (PBE-GGA, optimized geometry); Fermi-level density of states = 6.34 states/eV/f.u.; offset from the most stable computed form = 0.000 kcal/mol of atoms; raw total energy = -2.54 eV/atom; symmetry = No. 123
1.0
5.581 0.000 0.000
0.000 5.581 0.000
0.000 0.000 5.789
Li Te Se I
1 2 1 1
Direct
0.000 0.000 0.000 Li
0.000 0.500 0.500 Te
0.500 0.000 0.500 Te
0.500 0.500 0.500 Se
0.500 0.500 0.000 I

---

SbPOsS2 (PBE-GGA, optimized geometry); Fermi-level density of states = 4.04 states/eV/f.u.; offset from the most stable computed form = 27.698 kcal/mol of atoms; raw total energy = -4.04 eV/atom; symmetry = No. 123
1.0
4.863 0.000 0.000
0.000 4.863 0.000
0.000 0.000 5.116
Sb P Os S
1 1 1 2
Direct
0.000 0.000 0.000 Sb
0.000 0.000 0.500 P
0.500 0.500 0.500 Os
0.000 0.500 0.000 S
0.500 0.000 0.000 S

---

Pr2Tl2Zn (PBE-GGA, optimized geometry); DFT formation energy = -0.33 eV per atom; Fermi-level density of states = 4.04 states/eV/f.u.; raw total energy = -3.45 eV/atom; symmetry = No. 12
1.0
5.777 -2.397 0.000
5.777 2.397 0.000
-5.184 0.000 10.136
Pr Tl Zn
4 4 2
Direct
0.020 0.020 0.338 Pr
0.179 0.179 0.098 Pr
0.821 0.821 0.902 Pr
0.980 0.980 0.662 Pr
0.350 0.350 0.434 Tl
0.472 0.472 0.122 Tl
0.528 0.528 0.878 Tl
0.650 0.650 0.566 Tl
0.278 0.278 0.666 Zn
0.722 0.722 0.334 Zn

---

KSr2CdPt (PBE-GGA, optimized geometry); DFT formation energy = -0.36 eV per atom; Fermi-level density of states = 2.15 states/eV/f.u.; raw total energy = -2.64 eV/atom; symmetry = No. 123
1.0
5.960 0.000 0.000
0.000 5.960 0.000
0.000 0.000 5.475
K Sr Cd Pt
1 2 1 1
Direct
0.000 0.000 0.000 K
0.000 0.500 0.500 Sr
0.500 0.000 0.500 Sr
0.500 0.500 0.000 Cd
0.500 0.500 0.500 Pt

---

NaMgAu2 (PBE-GGA, optimized geometry); DFT formation energy = -0.12 eV per atom; Fermi-level density of states = 1.49 states/eV/f.u.; raw total energy = -2.48 eV/atom; symmetry = No. 141
1.0
-2.636 2.636 9.124
2.636 -2.636 9.124
2.636 2.636 -9.124
Na Mg Au
2 2 4
Direct
0.375 0.625 0.750 Na
0.625 0.375 0.250 Na
0.125 0.875 0.250 Mg
0.875 0.125 0.750 Mg
0.000 0.000 0.000 Au
0.000 0.000 0.500 Au
0.000 0.500 0.000 Au
0.500 0.000 0.500 Au

---

LuCdCo (PBE-GGA, optimized geometry); DFT formation energy = -0.09 eV per atom; Fermi-level density of states = 1.94 states/eV/f.u.; raw total energy = -4.27 eV/atom; symmetry = No. 107
1.0
-1.661 1.661 5.194
1.661 -1.661 5.194
1.661 1.661 -5.194
Lu Cd Co
1 1 1
Direct
0.000 0.000 0.000 Lu
0.711 0.711 0.000 Cd
0.359 0.359 0.000 Co

---

LaAsCl6 (PBE-GGA, optimized geometry); Fermi-level density of states = 0.00 states/eV/f.u.; raw total energy = -4.03 eV/atom; symmetry = No. 12
1.0
3.331 -6.276 0.000
3.331 6.276 0.000
-1.808 0.000 6.365
La As Cl
1 1 6
Direct
0.000 0.000 0.000 La
0.500 0.500 0.500 As
0.138 0.418 0.271 Cl
0.258 0.258 0.733 Cl
0.418 0.138 0.271 Cl
0.582 0.862 0.729 Cl
0.742 0.742 0.267 Cl
0.862 0.582 0.729 Cl

---

Sr3HfV (PBE-GGA, optimized geometry); DFT formation energy = 1.25 eV per atom; Fermi-level density of states = 9.39 states/eV/f.u.; offset from the most stable computed form = 0.000 kcal/mol of atoms; raw total energy = -3.57 eV/atom; symmetry = No. 221
1.0
5.940 0.000 0.000
0.000 5.940 0.000
0.000 0.000 5.940
Sr Hf V
3 1 1
Direct
0.000 0.000 0.500 Sr
0.000 0.500 0.000 Sr
0.500 0.000 0.000 Sr
0.500 0.500 0.500 Hf
0.000 0.000 0.000 V